[1]
KNbZn: relaxed, PBE-GGA.

Summary:
Density of states at the Fermi level, states/eV per cell: 5.9
Electronic total energy, eV/atom: -3.219
ΔE_f, eV per atom: 0.93
Offset from the most stable computed form, eV/atom: 0.698

Cell lengths 5.2546, 5.2546, 7.8032 Å; angles 90.00, 90.00, 120.00 degrees
Sites, in units of the cell vectors:
K1 0.0000 0.0000 0.0000
K2 0.0000 0.0000 0.5000
Nb1 0.3333 0.6667 0.1420
Nb2 0.3333 0.6667 0.8580
Zn1 0.6667 0.3333 0.1681
Zn2 0.6667 0.3333 0.8319

=====

[2]
KNbZn: relaxed, PBE-GGA.

Summary:
Density of states at the Fermi level, states/eV per cell: 11.4
Electronic total energy, eV/atom: -2.432
ΔE_f, eV per atom: 1.72
Offset from the most stable computed form, eV/atom: 1.485

Cell lengths 5.5680, 5.5680, 10.7940 Å; angles 90.00, 90.00, 120.00 degrees
Sites, in units of the cell vectors:
K1 0.3333 0.6667 0.2500
K2 0.6667 0.3333 0.7500
Nb1 0.0000 0.0000 0.0000
Nb2 0.0000 0.0000 0.5000
Zn1 0.0000 0.0000 0.2500
Zn2 0.0000 0.0000 0.7500